1.
First-principles (GGA-PBE) data for a relaxed structure of CsSiPd, as listed in Alexandria via LeMat-Bulk.

Cell lengths 4.5437, 4.5437, 12.7229 Å; angles 91.64, 91.64, 48.42 degrees
Fractional coordinates of all 6 atoms:
Cs (0.2376, 0.2376, 0.2043)
Cs (0.7624, 0.7624, 0.7957)
Si (0.0670, 0.0670, 0.5869)
Si (0.9330, 0.9330, 0.4131)
Pd (0.3590, 0.3590, 0.5526)
Pd (0.6410, 0.6410, 0.4474)

The total energy comes out at -24.35 eV per cell. The calculation puts the polymorph energy (0 for the lowest one) at 0 meV per atom.


2.
First-principles (GGA-PBE) data for a relaxed structure of UNb2Tc, as listed in Alexandria via LeMat-Bulk.

Cell lengths 4.6566, 4.6566, 4.6566 Å; angles 60.00, 60.00, 60.00 degrees
Fractional coordinates of all 4 atoms:
U (0.0000, 0.0000, 0.0000)
Nb (0.2500, 0.2500, 0.2500)
Nb (0.7500, 0.7500, 0.7500)
Tc (0.5000, 0.5000, 0.5000)

The energy of formation is 0.08 eV per atom. The total energy comes out at -41.48 eV per cell. The calculation puts the polymorph energy (0 for the lowest one) at 0 meV per atom.


3.
First-principles (GGA-PBE) data for a relaxed structure of Tb2ZrPt, as listed in Alexandria via LeMat-Bulk.

Cell lengths 3.5368, 3.5368, 7.8069 Å; angles 90.00, 90.00, 90.00 degrees
Fractional coordinates of all 4 atoms:
Tb (0.0000, 0.0000, 0.2158)
Tb (0.0000, 0.0000, 0.7842)
Zr (0.5000, 0.5000, 0.5000)
Pt (0.5000, 0.5000, 0.0000)

The energy of formation is -0.53 eV per atom. The total energy comes out at -25.97 eV per cell.


4.
First-principles (GGA-PBE) data for a relaxed structure of NpTlTe3Pb, as listed in Alexandria via LeMat-Bulk.

Cell lengths 9.7554, 4.4816, 10.2987 Å; angles 90.00, 98.43, 90.00 degrees
Fractional coordinates of all 12 atoms:
Np (0.1472, 0.2500, 0.1521)
Np (0.8528, 0.7500, 0.8479)
Tl (0.3212, 0.7500, 0.8146)
Tl (0.6788, 0.2500, 0.1854)
Te (0.0739, 0.2500, 0.8488)
Te (0.1512, 0.2500, 0.4546)
Te (0.3722, 0.7500, 0.1481)
Te (0.6278, 0.2500, 0.8519)
Te (0.8488, 0.7500, 0.5454)
Te (0.9261, 0.7500, 0.1512)
Pb (0.3578, 0.7500, 0.4461)
Pb (0.6422, 0.2500, 0.5539)

The total energy comes out at -62.08 eV per cell.


5.
First-principles (GGA-PBE) data for a relaxed structure of La2SnI, as listed in Alexandria via LeMat-Bulk.

Cell lengths 3.8313, 3.8313, 8.5451 Å; angles 90.00, 90.00, 90.00 degrees
Fractional coordinates of all 4 atoms:
La (0.0000, 0.0000, 0.2356)
La (0.0000, 0.0000, 0.7644)
Sn (0.5000, 0.5000, 0.0000)
I (0.5000, 0.5000, 0.5000)

The total energy comes out at -18.90 eV per cell. The calculation puts the polymorph energy (0 for the lowest one) at 110 meV per atom.


6.
First-principles (GGA-PBE) data for a relaxed structure of Al2GeN, as listed in Alexandria via LeMat-Bulk.

Cell lengths 6.0121, 6.0121, 6.0121 Å; angles 128.73, 128.73, 75.44 degrees
Fractional coordinates of all 8 atoms:
Al (0.0289, 0.6250, 0.9039)
Al (0.3750, 0.2789, 0.4039)
Al (0.7211, 0.1250, 0.0961)
Al (0.8750, 0.9711, 0.5961)
Ge (0.2500, 0.7500, 0.5000)
Ge (0.5000, 0.5000, 0.0000)
N (0.0000, 0.0000, 0.0000)
N (0.7500, 0.2500, 0.5000)

The total energy comes out at -43.52 eV per cell. The calculation puts the polymorph energy (0 for the lowest one) at 0 meV per atom.


7.
First-principles (GGA-PBE) data for a relaxed structure of Te2RhSe, as listed in Alexandria via LeMat-Bulk.

Cell lengths 5.1692, 5.1692, 4.0092 Å; angles 90.00, 90.00, 116.74 degrees
Fractional coordinates of all 4 atoms:
Te (0.1951, 0.8049, 0.0000)
Te (0.8049, 0.1951, 0.0000)
Rh (0.0000, 0.0000, 0.5000)
Se (0.5000, 0.5000, 0.5000)

The total energy comes out at -17.64 eV per cell.


8.
First-principles (GGA-PBE) data for a relaxed structure of KSrH6Au2, as listed in Alexandria via LeMat-Bulk.

Cell lengths 6.8855, 6.8855, 7.4249 Å; angles 111.88, 111.88, 77.58 degrees
Fractional coordinates of all 20 atoms:
K (0.1564, 0.8436, 0.7500)
K (0.8436, 0.1564, 0.2500)
Sr (0.3443, 0.6557, 0.2500)
Sr (0.6557, 0.3443, 0.7500)
H (0.0282, 0.8155, 0.3618)
H (0.1845, 0.9718, 0.1382)
H (0.2336, 0.2701, 0.0212)
H (0.2701, 0.2336, 0.5212)
H (0.3455, 0.5156, 0.8806)
H (0.4844, 0.6545, 0.6194)
H (0.5156, 0.3455, 0.3806)
H (0.6545, 0.4844, 0.1194)
H (0.7299, 0.7664, 0.4788)
H (0.7664, 0.7299, 0.9788)
H (0.8155, 0.0282, 0.8618)
H (0.9718, 0.1845, 0.6382)
Au (0.1756, 0.3307, 0.7608)
Au (0.3307, 0.1756, 0.2609)
Au (0.6693, 0.8244, 0.7392)
Au (0.8244, 0.6693, 0.2392)

The total energy comes out at -62.95 eV per cell.


9.
First-principles (GGA-PBE) data for a relaxed structure of NdPu2Ga, as listed in Alexandria via LeMat-Bulk.

Cell lengths 5.2628, 5.2628, 5.2628 Å; angles 60.00, 60.00, 60.00 degrees
Fractional coordinates of all 4 atoms:
Nd (0.0000, 0.0000, 0.0000)
Pu (0.2500, 0.2500, 0.2500)
Pu (0.7500, 0.7500, 0.7500)
Ga (0.5000, 0.5000, 0.5000)

The energy of formation is 0.09 eV per atom. The total energy comes out at -36.12 eV per cell. The calculation puts the polymorph energy (0 for the lowest one) at 218 meV per atom.


10.
First-principles (GGA-PBE) data for a relaxed structure of BaLi2Ni2, as listed in Alexandria via LeMat-Bulk.

Cell lengths 7.6699, 7.6699, 3.0983 Å; angles 90.00, 90.00, 90.00 degrees
Fractional coordinates of all 10 atoms:
Ba (0.0000, 0.0000, 0.0000)
Ba (0.5000, 0.5000, 0.0000)
Li (0.1151, 0.3849, 0.0000)
Li (0.3849, 0.8849, 0.0000)
Li (0.6151, 0.1151, 0.0000)
Li (0.8849, 0.6151, 0.0000)
Ni (0.1705, 0.6705, 0.5000)
Ni (0.3295, 0.1705, 0.5000)
Ni (0.6705, 0.8295, 0.5000)
Ni (0.8295, 0.3295, 0.5000)

The energy of formation is 0.28 eV per atom. The total energy comes out at -31.85 eV per cell. The calculation puts the polymorph energy (0 for the lowest one) at 163 meV per atom.


11.
First-principles (GGA-PBE) data for a relaxed structure of La4Pm5Dy3, as listed in Alexandria via LeMat-Bulk.

Cell lengths 8.8005, 8.8005, 9.5234 Å; angles 115.16, 115.16, 40.24 degrees
Fractional coordinates of all 12 atoms:
La (0.0838, 0.0838, 0.4403)
La (0.2171, 0.2171, 0.8769)
La (0.7829, 0.7829, 0.1231)
La (0.9162, 0.9162, 0.5597)
Pm (0.0000, 0.0000, 0.0000)
Pm (0.3293, 0.3293, 0.6107)
Pm (0.4263, 0.4263, 0.2970)
Pm (0.5737, 0.5737, 0.7030)
Pm (0.6707, 0.6707, 0.3893)
Dy (0.2093, 0.2093, 0.2275)
Dy (0.5000, 0.5000, 0.0000)
Dy (0.7907, 0.7907, 0.7725)

The energy of formation is 0.20 eV per atom. The total energy comes out at -54.84 eV per cell.


12.
First-principles (GGA-PBE) data for a relaxed structure of Dy3B2AsRh9, as listed in Alexandria via LeMat-Bulk.

Cell lengths 6.0984, 6.0984, 7.5145 Å; angles 90.00, 90.00, 120.00 degrees
Fractional coordinates of all 15 atoms:
Dy (0.0000, 0.0000, 0.0000)
Dy (0.3333, 0.6667, 0.6693)
Dy (0.6667, 0.3333, 0.3307)
B (0.3333, 0.6667, 0.1453)
B (0.6667, 0.3333, 0.8547)
As (0.0000, 0.0000, 0.5000)
Rh (0.0000, 0.5000, 0.0000)
Rh (0.1773, 0.3545, 0.3165)
Rh (0.1773, 0.8227, 0.3165)
Rh (0.3545, 0.1773, 0.6835)
Rh (0.5000, 0.0000, 0.0000)
Rh (0.5000, 0.5000, 0.0000)
Rh (0.6455, 0.8227, 0.3165)
Rh (0.8227, 0.1773, 0.6835)
Rh (0.8227, 0.6455, 0.6835)

The energy of formation is -0.72 eV per atom. The total energy comes out at -108.71 eV per cell.


13.
First-principles (GGA-PBE) data for a relaxed structure of Mg2CdAs, as listed in Alexandria via LeMat-Bulk.

Cell lengths 3.1448, 3.1448, 8.8367 Å; angles 90.00, 90.00, 90.00 degrees
Fractional coordinates of all 4 atoms:
Mg (0.0000, 0.0000, 0.0000)
Mg (0.5000, 0.5000, 0.2682)
Cd (0.5000, 0.5000, 0.7490)
As (0.0000, 0.0000, 0.4748)

The energy of formation is -0.02 eV per atom. The total energy comes out at -8.85 eV per cell. The calculation puts the polymorph energy (0 for the lowest one) at 207 meV per atom.


14.
First-principles (GGA-PBE) data for a relaxed structure of Nd3Pb5Se12, as listed in Alexandria via LeMat-Bulk.

Cell lengths 14.9089, 14.9089, 14.9089 Å; angles 109.47, 109.47, 109.47 degrees
Fractional coordinates of all 80 atoms:
Nd (0.1250, 0.2500, 0.3750)
Nd (0.1250, 0.3750, 0.7500)
Nd (0.2500, 0.3750, 0.1250)
Nd (0.2500, 0.8750, 0.6250)
Nd (0.3750, 0.1250, 0.2500)
Nd (0.3750, 0.7500, 0.1250)
Nd (0.6250, 0.2500, 0.8750)
Nd (0.6250, 0.8750, 0.7500)
Nd (0.7500, 0.1250, 0.3750)
Nd (0.7500, 0.6250, 0.8750)
Nd (0.8750, 0.6250, 0.2500)
Nd (0.8750, 0.7500, 0.6250)
Pb (0.0000, 0.0000, 0.0000)
Pb (0.0000, 0.0000, 0.5000)
Pb (0.0000, 0.5000, 0.0000)
Pb (0.0000, 0.5000, 0.5000)
Pb (0.1250, 0.7500, 0.8750)
Pb (0.1250, 0.8750, 0.2500)
Pb (0.2500, 0.1250, 0.8750)
Pb (0.2500, 0.6250, 0.3750)
Pb (0.3750, 0.2500, 0.6250)
Pb (0.3750, 0.6250, 0.7500)
Pb (0.5000, 0.0000, 0.0000)
Pb (0.5000, 0.0000, 0.5000)
Pb (0.5000, 0.5000, 0.0000)
Pb (0.5000, 0.5000, 0.5000)
Pb (0.6250, 0.3750, 0.2500)
Pb (0.6250, 0.7500, 0.3750)
Pb (0.7500, 0.3750, 0.6250)
Pb (0.7500, 0.8750, 0.1250)
Pb (0.8750, 0.1250, 0.7500)
Pb (0.8750, 0.2500, 0.1250)
Se (0.0558, 0.2268, 0.1412)
Se (0.0558, 0.3290, 0.9146)
Se (0.0854, 0.6412, 0.4144)
Se (0.0854, 0.9442, 0.6710)
Se (0.0856, 0.7268, 0.6710)
Se (0.0856, 0.8588, 0.4146)
Se (0.1412, 0.0558, 0.2268)
Se (0.1412, 0.5854, 0.9144)
Se (0.1710, 0.2268, 0.5856)
Se (0.1710, 0.4442, 0.5854)
Se (0.2268, 0.1412, 0.0558)
Se (0.2268, 0.5856, 0.1710)
Se (0.2732, 0.3290, 0.9144)
Se (0.2732, 0.4442, 0.3588)
Se (0.3290, 0.9144, 0.2732)
Se (0.3290, 0.9146, 0.0558)
Se (0.3588, 0.2732, 0.4442)
Se (0.3588, 0.5856, 0.9146)
Se (0.4144, 0.0854, 0.6412)
Se (0.4144, 0.8290, 0.7732)
Se (0.4146, 0.0856, 0.8588)
Se (0.4146, 0.8290, 0.5558)
Se (0.4442, 0.3588, 0.2732)
Se (0.4442, 0.5854, 0.1710)
Se (0.5558, 0.4146, 0.8290)
Se (0.5558, 0.6412, 0.7268)
Se (0.5854, 0.1710, 0.4442)
Se (0.5854, 0.9144, 0.1412)
Se (0.5856, 0.1710, 0.2268)
Se (0.5856, 0.9146, 0.3588)
Se (0.6412, 0.4144, 0.0854)
Se (0.6412, 0.7268, 0.5558)
Se (0.6710, 0.0854, 0.9442)
Se (0.6710, 0.0856, 0.7268)
Se (0.7268, 0.5558, 0.6412)
Se (0.7268, 0.6710, 0.0856)
Se (0.7732, 0.4144, 0.8290)
Se (0.7732, 0.8588, 0.9442)
Se (0.8290, 0.5558, 0.4146)
Se (0.8290, 0.7732, 0.4144)
Se (0.8588, 0.4146, 0.0856)
Se (0.8588, 0.9442, 0.7732)
Se (0.9144, 0.1412, 0.5854)
Se (0.9144, 0.2732, 0.3290)
Se (0.9146, 0.0558, 0.3290)
Se (0.9146, 0.3588, 0.5856)
Se (0.9442, 0.6710, 0.0854)
Se (0.9442, 0.7732, 0.8588)

The total energy comes out at -363.38 eV per cell.


15.
First-principles (GGA-PBE) data for a relaxed structure of CaSi3Br, as listed in Alexandria via LeMat-Bulk.

Cell lengths 5.0529, 5.0529, 5.0529 Å; angles 90.00, 90.00, 90.00 degrees
Fractional coordinates of all 5 atoms:
Ca (0.0000, 0.0000, 0.0000)
Si (0.0000, 0.5000, 0.5000)
Si (0.5000, 0.0000, 0.5000)
Si (0.5000, 0.5000, 0.0000)
Br (0.5000, 0.5000, 0.5000)

The total energy comes out at -15.72 eV per cell. The calculation puts the polymorph energy (0 for the lowest one) at 0 meV per atom.


16.
First-principles (GGA-PBE) data for a relaxed structure of MgTa2Te, as listed in Alexandria via LeMat-Bulk.

Cell lengths 3.2830, 3.9682, 5.9899 Å; angles 90.00, 90.00, 90.00 degrees
Fractional coordinates of all 4 atoms:
Mg (0.0000, 0.0000, 0.0000)
Ta (0.5000, 0.5000, 0.2442)
Ta (0.5000, 0.5000, 0.7558)
Te (0.0000, 0.0000, 0.5000)

The total energy comes out at -26.66 eV per cell. The calculation puts the polymorph energy (0 for the lowest one) at 330 meV per atom.


17.
First-principles (GGA-PBE) data for a relaxed structure of KTlAg, as listed in Alexandria via LeMat-Bulk.

Cell lengths 5.4625, 5.4625, 5.4625 Å; angles 60.00, 60.00, 60.00 degrees
Fractional coordinates of all 3 atoms:
K (0.0000, 0.0000, 0.0000)
Tl (0.7500, 0.7500, 0.7500)
Ag (0.2500, 0.2500, 0.2500)

The energy of formation is 0.37 eV per atom. The total energy comes out at -5.20 eV per cell.


18.
First-principles (GGA-PBE) data for a relaxed structure of Re2SbOs, as listed in Alexandria via LeMat-Bulk.

Cell lengths 4.8710, 4.8710, 4.8710 Å; angles 131.28, 131.28, 71.36 degrees
Fractional coordinates of all 4 atoms:
Re (0.0000, 0.0000, 0.0000)
Re (0.7500, 0.2500, 0.5000)
Sb (0.2500, 0.7500, 0.5000)
Os (0.5000, 0.5000, 0.0000)

The total energy comes out at -37.81 eV per cell.


19.
First-principles (GGA-PBE) data for a relaxed structure of Zn4Mo5, as listed in Alexandria via LeMat-Bulk.

Cell lengths 7.7112, 7.7112, 5.2397 Å; angles 90.00, 90.00, 120.00 degrees
Fractional coordinates of all 18 atoms:
Zn (0.0000, 0.0000, 0.0000)
Zn (0.0000, 0.0000, 0.5000)
Zn (0.0000, 0.3728, 0.2500)
Zn (0.0000, 0.6272, 0.7500)
Zn (0.3728, 0.0000, 0.2500)
Zn (0.3728, 0.3728, 0.7500)
Zn (0.6272, 0.0000, 0.7500)
Zn (0.6272, 0.6272, 0.2500)
Mo (0.0000, 0.2939, 0.7500)
Mo (0.0000, 0.7061, 0.2500)
Mo (0.2939, 0.0000, 0.7500)
Mo (0.2939, 0.2939, 0.2500)
Mo (0.3333, 0.6667, 0.0000)
Mo (0.3333, 0.6667, 0.5000)
Mo (0.6667, 0.3333, 0.0000)
Mo (0.6667, 0.3333, 0.5000)
Mo (0.7061, 0.0000, 0.2500)
Mo (0.7061, 0.7061, 0.7500)

The energy of formation is 0.26 eV per atom. The total energy comes out at -113.87 eV per cell. The calculation puts the polymorph energy (0 for the lowest one) at 162 meV per atom.


20.
First-principles (GGA-PBE) data for a relaxed structure of Bi3AsPb, as listed in Alexandria via LeMat-Bulk.

Cell lengths 5.5993, 5.5993, 5.5993 Å; angles 90.00, 90.00, 90.00 degrees
Fractional coordinates of all 5 atoms:
Bi (0.0000, 0.0000, 0.5000)
Bi (0.0000, 0.5000, 0.0000)
Bi (0.5000, 0.0000, 0.0000)
As (0.0000, 0.0000, 0.0000)
Pb (0.5000, 0.5000, 0.5000)

The energy of formation is 0.44 eV per atom. The total energy comes out at -17.80 eV per cell. The calculation puts the polymorph energy (0 for the lowest one) at 0 meV per atom.


21.
First-principles (GGA-PBE) data for a relaxed structure of ZnAsP2, as listed in Alexandria via LeMat-Bulk.

Cell lengths 6.9186, 6.9186, 6.9186 Å; angles 132.94, 132.94, 68.74 degrees
Fractional coordinates of all 8 atoms:
Zn (0.0000, 0.0000, 0.0000)
Zn (0.7500, 0.2500, 0.5000)
As (0.2500, 0.7500, 0.5000)
As (0.5000, 0.5000, 0.0000)
P (0.1155, 0.6250, 0.9905)
P (0.3750, 0.3655, 0.4905)
P (0.6345, 0.1250, 0.0095)
P (0.8750, 0.8845, 0.5095)

The energy of formation is 0.10 eV per atom. The total energy comes out at -32.70 eV per cell. The calculation puts the polymorph energy (0 for the lowest one) at 54 meV per atom.